(1)
# Zn4Ir (PBE, relaxed)
data_Zn4Ir
_symmetry_space_group_name_H-M 'I 4/m'
_symmetry_Int_Tables_number 87
_symmetry_space_group_name_Hall '-I 4'
_cell_length_a 6.165
_cell_length_b 6.165
_cell_length_c 3.765
_cell_angle_alpha 90.00
_cell_angle_beta 90.00
_cell_angle_gamma 90.00
loop_
_atom_site_label
_atom_site_type_symbol
_atom_site_fract_x
_atom_site_fract_y
_atom_site_fract_z
Zn1 Zn 0.105 0.705 0.000
Ir1 Ir 0.000 0.000 0.500
# calculated formation energy = -0.171 eV/atom

(2)
# ZrTaTi2C (PBE, relaxed)
data_ZrTaTi2C
_symmetry_space_group_name_H-M 'P 4/m m m'
_symmetry_Int_Tables_number 123
_symmetry_space_group_name_Hall '-P 4 2'
_cell_length_a 4.291
_cell_length_b 4.291
_cell_length_c 4.410
_cell_angle_alpha 90.00
_cell_angle_beta 90.00
_cell_angle_gamma 90.00
loop_
_atom_site_label
_atom_site_type_symbol
_atom_site_fract_x
_atom_site_fract_y
_atom_site_fract_z
Zr1 Zr 0.000 0.000 0.000
Ta1 Ta 0.500 0.500 0.000
Ti1 Ti 0.000 0.500 0.500
C1 C 0.500 0.500 0.500
# calculated formation energy = -0.251 eV/atom

(3)
# Sc5Ru6 (PBE, relaxed)
data_Sc5Ru6
_symmetry_space_group_name_H-M 'I m m m'
_symmetry_Int_Tables_number 71
_symmetry_space_group_name_Hall '-I 2 2'
_cell_length_a 4.427
_cell_length_b 6.321
_cell_length_c 13.497
_cell_angle_alpha 90.00
_cell_angle_beta 90.00
_cell_angle_gamma 90.00
loop_
_atom_site_label
_atom_site_type_symbol
_atom_site_fract_x
_atom_site_fract_y
_atom_site_fract_z
Sc1 Sc 0.000 0.000 0.000
Sc2 Sc 0.000 0.000 0.321
Sc3 Sc 0.000 0.500 0.339
Ru1 Ru 0.000 0.195 0.500
Ru2 Ru 0.000 0.259 0.158
# calculated formation energy = -0.173 eV/atom

(4)
# PaGeH2Ru2 (PBE, relaxed)
data_PaGeH2Ru2
_symmetry_space_group_name_H-M 'P 1 21/m 1'
_symmetry_Int_Tables_number 11
_symmetry_space_group_name_Hall '-P 2yb'
_cell_length_a 4.649
_cell_length_b 5.965
_cell_length_c 5.797
_cell_angle_alpha 90.00
_cell_angle_beta 101.45
_cell_angle_gamma 90.00
loop_
_atom_site_label
_atom_site_type_symbol
_atom_site_fract_x
_atom_site_fract_y
_atom_site_fract_z
Pa1 Pa 0.186 0.250 0.200
Ge1 Ge 0.203 0.750 0.319
H1 H 0.314 0.750 0.833
H2 H 0.378 0.250 0.871
Ru1 Ru 0.296 0.018 0.674
# calculated total energy = -81.86 eV/cell

(5)
# AcBi4As (PBE, relaxed)
data_AcBi4As
_symmetry_space_group_name_H-M 'F -4 3 m'
_symmetry_Int_Tables_number 216
_symmetry_space_group_name_Hall 'F -4 2 3'
_cell_length_a 9.208
_cell_length_b 9.208
_cell_length_c 9.208
_cell_angle_alpha 90.00
_cell_angle_beta 90.00
_cell_angle_gamma 90.00
loop_
_atom_site_label
_atom_site_type_symbol
_atom_site_fract_x
_atom_site_fract_y
_atom_site_fract_z
Ac1 Ac 0.000 0.000 0.000
Bi1 Bi 0.124 0.124 0.624
As1 As 0.250 0.250 0.250
# calculated formation energy = -0.039 eV/atom

(6)
# BaCaH2O (PBE, relaxed)
data_BaCaH2O
_symmetry_space_group_name_H-M 'P 4/m m m'
_symmetry_Int_Tables_number 123
_symmetry_space_group_name_Hall '-P 4 2'
_cell_length_a 4.271
_cell_length_b 4.271
_cell_length_c 4.568
_cell_angle_alpha 90.00
_cell_angle_beta 90.00
_cell_angle_gamma 90.00
loop_
_atom_site_label
_atom_site_type_symbol
_atom_site_fract_x
_atom_site_fract_y
_atom_site_fract_z
Ba1 Ba 0.000 0.000 0.000
Ca1 Ca 0.500 0.500 0.500
H1 H 0.000 0.500 0.500
O1 O 0.500 0.500 0.000
# calculated total energy = -22.25 eV/cell

(7)
# Sr2Li3HgSb4 (PBE, relaxed)
data_Sr2Li3HgSb4
_symmetry_space_group_name_H-M 'P -4 m 2'
_symmetry_Int_Tables_number 115
_symmetry_space_group_name_Hall 'P -4 -2'
_cell_length_a 4.713
_cell_length_b 4.713
_cell_length_c 11.717
_cell_angle_alpha 90.00
_cell_angle_beta 90.00
_cell_angle_gamma 90.00
loop_
_atom_site_label
_atom_site_type_symbol
_atom_site_fract_x
_atom_site_fract_y
_atom_site_fract_z
Sr1 Sr 0.000 0.500 0.239
Li1 Li 0.000 0.500 0.874
Li2 Li 0.500 0.500 0.500
Hg1 Hg 0.000 0.000 0.500
Sb1 Sb 0.000 0.000 0.000
Sb2 Sb 0.000 0.500 0.649
Sb3 Sb 0.500 0.500 0.000
# ΔE_f (raw) = -0.677 eV per atom

(8)
# Mg2ScSe2 (PBE, relaxed)
data_Mg2ScSe2
_symmetry_space_group_name_H-M 'I 4/m m m'
_symmetry_Int_Tables_number 139
_symmetry_space_group_name_Hall '-I 4 2'
_cell_length_a 5.021
_cell_length_b 5.021
_cell_length_c 9.076
_cell_angle_alpha 90.00
_cell_angle_beta 90.00
_cell_angle_gamma 90.00
loop_
_atom_site_label
_atom_site_type_symbol
_atom_site_fract_x
_atom_site_fract_y
_atom_site_fract_z
Mg1 Mg 0.000 0.000 0.152
Sc1 Sc 0.000 0.000 0.500
Se1 Se 0.000 0.500 0.250
# ΔE_f (raw) = -0.528 eV per atom

(9)
# Sr2HgIO6 (PBE, relaxed)
data_Sr2HgIO6
_symmetry_space_group_name_H-M 'P -1'
_symmetry_Int_Tables_number 2
_symmetry_space_group_name_Hall '-P 1'
_cell_length_a 5.928
_cell_length_b 5.931
_cell_length_c 5.935
_cell_angle_alpha 62.03
_cell_angle_beta 62.07
_cell_angle_gamma 62.05
loop_
_atom_site_label
_atom_site_type_symbol
_atom_site_fract_x
_atom_site_fract_y
_atom_site_fract_z
Sr1 Sr 0.241 0.240 0.240
Hg1 Hg 0.500 0.500 0.500
I1 I 0.000 0.000 0.000
O1 O 0.135 0.313 0.795
O2 O 0.206 0.865 0.687
O3 O 0.313 0.794 0.136
# ΔE_f (raw) = -1.415 eV per atom

(10)
# Pm5UIr4 (PBE, relaxed)
data_Pm5UIr4
_symmetry_space_group_name_H-M 'C 1 2/m 1'
_symmetry_Int_Tables_number 12
_symmetry_space_group_name_Hall '-C 2y'
_cell_length_a 16.801
_cell_length_b 4.468
_cell_length_c 7.266
_cell_angle_alpha 90.00
_cell_angle_beta 106.56
_cell_angle_gamma 90.00
loop_
_atom_site_label
_atom_site_type_symbol
_atom_site_fract_x
_atom_site_fract_y
_atom_site_fract_z
Pm1 Pm 0.000 0.000 0.000
Pm2 Pm 0.166 0.500 0.557
Pm3 Pm 0.172 0.500 0.059
U1 U 0.000 0.000 0.500
Ir1 Ir 0.004 0.500 0.716
Ir2 Ir 0.143 0.000 0.790
# calculated formation energy = -0.566 eV/atom

(11)
# Na2Ta4O11 (PBE, relaxed)
data_Na2Ta4O11
_symmetry_space_group_name_H-M 'R -3 c'
_symmetry_Int_Tables_number 167
_symmetry_space_group_name_Hall '-R 3 2"c'
_cell_length_a 6.2726
_cell_length_b 6.2726
_cell_length_c 37.0477
_cell_angle_alpha 90.00
_cell_angle_beta 90.00
_cell_angle_gamma 120.00
loop_
_atom_site_label
_atom_site_type_symbol
_atom_site_fract_x
_atom_site_fract_y
_atom_site_fract_z
Na1 Na 0.0000 0.0000 0.1655
Ta1 Ta 0.0000 0.0000 0.0000
Ta2 Ta 0.0000 0.3626 0.2500
O1 O 0.0000 0.0000 0.0939
O2 O 0.0000 0.2472 0.7500
O3 O 0.0315 0.2766 0.5308
# ΔE_f (raw) = -2.739 eV per atom

(12)
# Tm4ZnSi3 (PBE, relaxed)
data_Tm4ZnSi3
_symmetry_space_group_name_H-M 'P m m 2'
_symmetry_Int_Tables_number 25
_symmetry_space_group_name_Hall 'P 2 -2'
_cell_length_a 3.883
_cell_length_b 4.170
_cell_length_c 10.537
_cell_angle_alpha 90.00
_cell_angle_beta 90.00
_cell_angle_gamma 90.00
loop_
_atom_site_label
_atom_site_type_symbol
_atom_site_fract_x
_atom_site_fract_y
_atom_site_fract_z
Tm1 Tm 0.000 0.000 0.000
Tm2 Tm 0.000 0.500 0.494
Tm3 Tm 0.500 0.000 0.713
Tm4 Tm 0.500 0.500 0.215
Zn1 Zn 0.000 0.500 0.783
Si1 Si 0.000 0.000 0.279
Si2 Si 0.500 0.000 0.430
Si3 Si 0.500 0.500 0.935
# ΔE_f (raw) = -0.692 eV per atom